# 1
10
Lattice="6.721 0.000 0.000 0.000 6.721 0.000 0.000 0.000 6.218" Properties=species:S:1:pos:R:3 comment="PBE Rb2V2Au, optimized geometry" dft_energy_ev_per_atom=-3.90 e_above_lowest_polymorph_ev_per_fu=0.00 total_magnetization_mub_per_cell=1.571 pbc="T T T"
Rb 1.461 1.899 0.000
Rb 1.899 5.260 0.000
Rb 4.822 1.461 0.000
Rb 5.260 4.822 0.000
V 0.660 4.020 3.109
V 2.701 0.660 3.109
V 4.020 6.061 3.109
V 6.061 2.701 3.109
Au 0.000 0.000 3.109
Au 3.361 3.361 3.109

# 2
5
Lattice="5.559 0.000 0.000 0.000 5.559 0.000 0.000 0.000 5.117" Properties=species:S:1:pos:R:3 comment="PBE LiLa2ScRu, optimized geometry" dft_energy_ev_per_atom=-5.55 e_above_lowest_polymorph_ev_per_fu=0.00 total_magnetization_mub_per_cell=0.000 pbc="T T T"
Li 0.000 0.000 0.000
La 0.000 2.780 2.559
La 2.780 0.000 2.559
Sc 2.780 2.780 0.000
Ru 2.780 2.780 2.559

# 3
18
Lattice="7.513 0.000 0.000 -3.757 6.506 0.000 0.000 0.000 12.182" Properties=species:S:1:pos:R:3 comment="PBE BaNaBiCl6, optimized geometry" dft_energy_ev_per_atom=-3.68 total_magnetization_mub_per_cell=0.000 pbc="T T T"
Ba 0.000 4.338 3.046
Ba 3.757 2.169 9.137
Na 0.000 0.000 0.000
Na 0.000 0.000 6.091
Bi 0.000 4.338 9.137
Bi 3.757 2.169 3.046
Cl -1.070 2.331 7.601
Cl -2.273 4.414 10.672
Cl 1.070 2.331 10.672
Cl -1.203 6.268 7.601
Cl 2.553 0.238 1.510
Cl 1.483 2.092 4.581
Cl 2.273 4.414 7.601
Cl 1.203 6.268 10.672
Cl 4.960 0.238 4.581
Cl 2.686 4.176 1.510
Cl 6.030 2.092 1.510
Cl 4.827 4.176 4.581